Below is a relaxed structure of Cr2MoP, with properties calculated at the GGA-PBE level.

a = 7.808 Å, b = 7.808 Å, c = 7.808 Å
α = 20.82°, β = 20.82°, γ = 20.82°
Sites, in units of the cell vectors:
1 Cr 0.001 0.001 0.001
2 Cr 0.257 0.257 0.257
3 Mo 0.497 0.497 0.497
4 P 0.745 0.745 0.745

Computed properties:
* formation energy from the elements: 0.188 eV/atom